(1)
Tb2Er5In5 after structural relaxation. Source: Alexandria, functional GGA-PBE.

Cell lengths 12.0103, 5.0414, 11.7740 Å; angles 90.00, 109.79, 90.00 degrees
Space group C2/m (No. 12)
One atom of each set of equivalent atoms:
Tb: 0.0751 0.0000 0.2576 x4
Er: 0.0000 0.5000 0.0000 x2
Er: 0.1307 0.5000 0.7764 x4
Er: 0.1516 0.5000 0.5013 x4
In: 0.0000 0.0000 0.5000 x2
In: 0.1662 0.0000 0.9671 x4
In: 0.2423 0.5000 0.2804 x4

Calculated values
energy relative to the elements: -0.303 eV/atom
D(E_F): 1.002 states/eV per atom
calculated total energy: -4.1167 eV/atom


(2)
CaTbCe2 after structural relaxation. Source: Alexandria, functional GGA-PBE.

Cell lengths 3.4358, 3.4358, 37.9792 Å; angles 90.00, 90.00, 120.00 degrees
Space group R-3m (No. 166, hexagonal axes)
One atom of each set of equivalent atoms:
Ca: 0.0000 0.0000 0.0000 x3
Tb: 0.0000 0.0000 0.5000 x3
Ce: 0.0000 0.0000 0.0892 x6

Calculated values
energy relative to the elements: 0.247 eV/atom
D(E_F): 2.911 states/eV per atom
calculated total energy: -4.3777 eV/atom


(3)
KTiF2 after structural relaxation. Source: Alexandria, functional GGA-PBE.

Cell lengths 3.0861, 3.0861, 23.7538 Å; angles 90.00, 90.00, 120.00 degrees
Space group R-3m (No. 166, hexagonal axes)
One atom of each set of equivalent atoms:
K: 0.0000 0.0000 0.0000 x3
Ti: 0.0000 0.0000 0.5000 x3
F: 0.0000 0.0000 0.1049 x6

Calculated values
relative energy among the computed polymorphs: 508 meV/atom
D(E_F): 0.555 states/eV per atom
uncorrected formation energy: -6.7 eV per formula unit
calculated total energy: -4.8543 eV/atom


(4)
Mn2ZnRh after structural relaxation. Source: Alexandria, functional GGA-PBE.

Cell lengths 6.0070, 6.0070, 6.0070 Å; angles 90.00, 90.00, 90.00 degrees
Space group F-43m (No. 216)
One atom of each set of equivalent atoms:
Mn: 0.0000 0.0000 0.0000 x4
Mn: 0.2500 0.2500 0.2500 x4
Zn: 0.0000 0.0000 0.5000 x4
Rh: 0.2500 0.2500 0.7500 x4

Calculated values
energy relative to the elements: -0.147 eV/atom
D(E_F): 0.734 states/eV per atom
calculated total energy: -6.8886 eV/atom